Record 1
Material: MgCd2Pb
Method: DFT, SCAN
State: PBEsol geometry

```
data_MgCd2Pb
_cell_length_a 3.604
_cell_length_b 3.604
_cell_length_c 7.246
_cell_angle_alpha 90.00
_cell_angle_beta 90.00
_cell_angle_gamma 90.00
_symmetry_space_group_name_H-M 'P 1'
_symmetry_Int_Tables_number 1
_symmetry_space_group_name_Hall 'P 1'
loop_
_atom_site_label
_atom_site_fract_x
_atom_site_fract_y
_atom_site_fract_z
Pb1 0.500 0.500 0.747
Mg1 0.000 0.000 0.473
Cd1 0.000 0.000 0.030
Cd2 0.500 0.500 0.250
```

Properties
Energy relative to the lowest polymorph listed for this composition (meV/atom): 30
Total moment (μB/f.u.): 0.00



Record 2
Material: Mg2CdPb
Method: DFT, SCAN
State: PBEsol geometry

```
data_Mg2CdPb
_cell_length_a 4.682
_cell_length_b 4.682
_cell_length_c 5.371
_cell_angle_alpha 115.84
_cell_angle_beta 115.84
_cell_angle_gamma 90.00
_symmetry_space_group_name_H-M 'P 1'
_symmetry_Int_Tables_number 1
_symmetry_space_group_name_Hall 'P 1'
loop_
_atom_site_label
_atom_site_fract_x
_atom_site_fract_y
_atom_site_fract_z
Mg1 0.750 0.250 0.500
Pb1 0.500 0.500 0.000
Mg2 0.250 0.750 0.500
Cd1 0.000 0.000 0.000
```

Properties
Total moment (μB/f.u.): 0.00



Record 3
Material: Mg2CdPb
Method: DFT, SCAN
State: PBEsol geometry

```
data_Mg2CdPb
_cell_length_a 3.309
_cell_length_b 5.268
_cell_length_c 5.321
_cell_angle_alpha 90.00
_cell_angle_beta 90.00
_cell_angle_gamma 90.00
_symmetry_space_group_name_H-M 'P 1'
_symmetry_Int_Tables_number 1
_symmetry_space_group_name_Hall 'P 1'
loop_
_atom_site_label
_atom_site_fract_x
_atom_site_fract_y
_atom_site_fract_z
Cd1 0.500 0.500 0.172
Mg1 0.000 0.500 0.686
Pb1 0.500 0.000 0.569
Mg2 0.000 0.000 0.074
```

Properties
Total moment (μB/f.u.): 0.00



Record 4
Material: MgCd2Pb
Method: DFT, SCAN
State: PBEsol geometry

```
data_MgCd2Pb
_cell_length_a 3.368
_cell_length_b 5.382
_cell_length_c 5.546
_cell_angle_alpha 100.14
_cell_angle_beta 90.00
_cell_angle_gamma 108.24
_symmetry_space_group_name_H-M 'P 1'
_symmetry_Int_Tables_number 1
_symmetry_space_group_name_Hall 'P 1'
loop_
_atom_site_label
_atom_site_fract_x
_atom_site_fract_y
_atom_site_fract_z
Cd1 0.249 0.497 0.757
Mg1 0.506 0.011 0.511
Pb1 0.752 0.504 0.260
Cd2 0.994 0.988 0.972
```

Properties
Energy relative to the lowest polymorph listed for this composition (meV/atom): 14
Total moment (μB/f.u.): 0.00



Record 5
Material: MgCd4Pb
Method: DFT, SCAN
State: PBEsol geometry

```
data_MgCd4Pb
_cell_length_a 5.819
_cell_length_b 5.819
_cell_length_c 5.819
_cell_angle_alpha 60.00
_cell_angle_beta 60.00
_cell_angle_gamma 60.00
_symmetry_space_group_name_H-M 'P 1'
_symmetry_Int_Tables_number 1
_symmetry_space_group_name_Hall 'P 1'
loop_
_atom_site_label
_atom_site_fract_x
_atom_site_fract_y
_atom_site_fract_z
Cd1 0.375 0.375 0.375
Cd2 0.874 0.375 0.375
Pb1 0.000 0.000 0.000
Mg1 0.750 0.750 0.750
Cd3 0.375 0.874 0.375
Cd4 0.375 0.375 0.874
```

Properties
Total moment (μB/f.u.): 0.00



Record 6
Material: Mg2CdPb
Method: DFT, SCAN
State: PBEsol geometry

```
data_Mg2CdPb
_cell_length_a 3.373
_cell_length_b 3.373
_cell_length_c 9.771
_cell_angle_alpha 80.06
_cell_angle_beta 80.06
_cell_angle_gamma 60.00
_symmetry_space_group_name_H-M 'P 1'
_symmetry_Int_Tables_number 1
_symmetry_space_group_name_Hall 'P 1'
loop_
_atom_site_label
_atom_site_fract_x
_atom_site_fract_y
_atom_site_fract_z
Pb1 0.500 0.500 0.500
Mg1 0.745 0.745 0.764
Cd1 0.000 0.000 0.000
Mg2 0.255 0.255 0.236
```

Properties
Total moment (μB/f.u.): 0.01



Record 7
Material: Mg2CdPb
Method: DFT, SCAN
State: PBEsol geometry

```
data_Mg2CdPb
_cell_length_a 3.381
_cell_length_b 5.090
_cell_length_c 5.919
_cell_angle_alpha 101.14
_cell_angle_beta 90.00
_cell_angle_gamma 109.40
_symmetry_space_group_name_H-M 'P 1'
_symmetry_Int_Tables_number 1
_symmetry_space_group_name_Hall 'P 1'
loop_
_atom_site_label
_atom_site_fract_x
_atom_site_fract_y
_atom_site_fract_z
Pb1 0.000 0.000 0.500
Mg1 0.755 0.509 0.770
Mg2 0.245 0.491 0.230
Cd1 0.500 0.000 0.000
```

Properties
Total moment (μB/f.u.): 0.01



Record 8
Material: MgCd2Pb
Method: DFT, SCAN
State: PBEsol geometry

```
data_MgCd2Pb
_cell_length_a 4.423
_cell_length_b 4.568
_cell_length_c 5.618
_cell_angle_alpha 113.99
_cell_angle_beta 113.18
_cell_angle_gamma 90.00
_symmetry_space_group_name_H-M 'P 1'
_symmetry_Int_Tables_number 1
_symmetry_space_group_name_Hall 'P 1'
loop_
_atom_site_label
_atom_site_fract_x
_atom_site_fract_y
_atom_site_fract_z
Pb1 0.000 0.500 0.000
Mg1 0.500 0.000 0.000
Cd1 0.248 0.248 0.496
Cd2 0.752 0.752 0.504
```

Properties
Energy relative to the lowest polymorph listed for this composition (meV/atom): 13
Total moment (μB/f.u.): 0.00



Record 9
Material: MgCd2Pb
Method: DFT, SCAN
State: PBEsol geometry

```
data_MgCd2Pb
_cell_length_a 4.491
_cell_length_b 4.491
_cell_length_c 4.634
_cell_angle_alpha 90.00
_cell_angle_beta 90.00
_cell_angle_gamma 90.00
_symmetry_space_group_name_H-M 'P 1'
_symmetry_Int_Tables_number 1
_symmetry_space_group_name_Hall 'P 1'
loop_
_atom_site_label
_atom_site_fract_x
_atom_site_fract_y
_atom_site_fract_z
Mg1 0.500 0.500 0.500
Cd1 0.500 0.000 0.000
Pb1 0.000 0.000 0.500
Cd2 0.000 0.500 0.000
```

Properties
Energy relative to the lowest polymorph listed for this composition (meV/atom): 0
Total moment (μB/f.u.): 0.00



Record 10
Material: Mg2CdPb
Method: DFT, SCAN
State: PBEsol geometry

```
data_Mg2CdPb
_cell_length_a 4.469
_cell_length_b 4.423
_cell_length_c 5.600
_cell_angle_alpha 111.74
_cell_angle_beta 113.17
_cell_angle_gamma 89.81
_symmetry_space_group_name_H-M 'P 1'
_symmetry_Int_Tables_number 1
_symmetry_space_group_name_Hall 'P 1'
loop_
_atom_site_label
_atom_site_fract_x
_atom_site_fract_y
_atom_site_fract_z
Pb1 0.500 0.497 0.999
Cd1 0.248 0.756 0.499
Mg1 0.001 0.998 0.001
Mg2 0.750 0.248 0.500
```

Properties
Total moment (μB/f.u.): 0.00



Record 11
Material: MgCd2Pb
Method: DFT, SCAN
State: PBEsol geometry

```
data_MgCd2Pb
_cell_length_a 3.360
_cell_length_b 3.360
_cell_length_c 9.968
_cell_angle_alpha 80.30
_cell_angle_beta 80.30
_cell_angle_gamma 60.00
_symmetry_space_group_name_H-M 'P 1'
_symmetry_Int_Tables_number 1
_symmetry_space_group_name_Hall 'P 1'
loop_
_atom_site_label
_atom_site_fract_x
_atom_site_fract_y
_atom_site_fract_z
Mg1 0.500 0.500 0.500
Cd1 0.244 0.244 0.267
Pb1 0.000 0.000 0.000
Cd2 0.756 0.756 0.733
```

Properties
Energy relative to the lowest polymorph listed for this composition (meV/atom): 30
Total moment (μB/f.u.): 0.00



Record 12
Material: Mg2CdPb
Method: DFT, SCAN
State: PBEsol geometry

```
data_Mg2CdPb
_cell_length_a 4.252
_cell_length_b 4.651
_cell_length_c 4.651
_cell_angle_alpha 90.00
_cell_angle_beta 90.00
_cell_angle_gamma 90.00
_symmetry_space_group_name_H-M 'P 1'
_symmetry_Int_Tables_number 1
_symmetry_space_group_name_Hall 'P 1'
loop_
_atom_site_label
_atom_site_fract_x
_atom_site_fract_y
_atom_site_fract_z
Cd1 0.500 0.000 0.000
Mg1 0.000 0.000 0.500
Pb1 0.500 0.500 0.500
Mg2 0.000 0.500 0.000
```

Properties
Total moment (μB/f.u.): 0.00



Record 13
Material: MgCd2Pb
Method: DFT, SCAN
State: PBEsol geometry

```
data_MgCd2Pb
_cell_length_a 4.505
_cell_length_b 4.505
_cell_length_c 5.614
_cell_angle_alpha 113.65
_cell_angle_beta 113.65
_cell_angle_gamma 90.00
_symmetry_space_group_name_H-M 'P 1'
_symmetry_Int_Tables_number 1
_symmetry_space_group_name_Hall 'P 1'
loop_
_atom_site_label
_atom_site_fract_x
_atom_site_fract_y
_atom_site_fract_z
Cd1 0.250 0.750 0.500
Cd2 0.750 0.250 0.500
Pb1 0.000 0.000 0.000
Mg1 0.500 0.500 0.000
```

Properties
Energy relative to the lowest polymorph listed for this composition (meV/atom): 13
Total moment (μB/f.u.): 0.00



Record 14
Material: MgCd2Pb
Method: DFT, SCAN
State: PBEsol geometry

```
data_MgCd2Pb
_cell_length_a 3.330
_cell_length_b 5.377
_cell_length_c 5.581
_cell_angle_alpha 100.87
_cell_angle_beta 107.36
_cell_angle_gamma 90.00
_symmetry_space_group_name_H-M 'P 1'
_symmetry_Int_Tables_number 1
_symmetry_space_group_name_Hall 'P 1'
loop_
_atom_site_label
_atom_site_fract_x
_atom_site_fract_y
_atom_site_fract_z
Cd1 0.243 0.234 0.486
Pb1 0.000 0.500 0.000
Cd2 0.757 0.766 0.514
Mg1 0.500 0.000 0.000
```

Properties
Energy relative to the lowest polymorph listed for this composition (meV/atom): 10
Total moment (μB/f.u.): 0.00



Record 15
Material: RbMgCdPd2
Method: DFT, SCAN
State: PBEsol geometry

```
data_RbMgCdPd2
_cell_length_a 5.047
_cell_length_b 5.047
_cell_length_c 5.729
_cell_angle_alpha 90.00
_cell_angle_beta 90.00
_cell_angle_gamma 90.00
_symmetry_space_group_name_H-M 'P 1'
_symmetry_Int_Tables_number 1
_symmetry_space_group_name_Hall 'P 1'
loop_
_atom_site_label
_atom_site_fract_x
_atom_site_fract_y
_atom_site_fract_z
Pd1 0.000 0.500 0.000
Mg1 0.000 0.000 0.500
Cd1 0.500 0.500 0.500
Pd2 0.500 0.000 0.000
Rb1 0.000 0.000 0.000
```

Properties
Total moment (μB/f.u.): 0.00



Record 16
Material: PmMgCd2
Method: DFT, SCAN
State: PBEsol geometry

```
data_PmMgCd2
_cell_length_a 5.087
_cell_length_b 5.087
_cell_length_c 5.087
_cell_angle_alpha 60.00
_cell_angle_beta 60.00
_cell_angle_gamma 60.00
_symmetry_space_group_name_H-M 'P 1'
_symmetry_Int_Tables_number 1
_symmetry_space_group_name_Hall 'P 1'
loop_
_atom_site_label
_atom_site_fract_x
_atom_site_fract_y
_atom_site_fract_z
Pm1 0.000 0.000 0.000
Cd1 0.750 0.750 0.750
Cd2 0.250 0.250 0.250
Mg1 0.500 0.500 0.500
```

Properties
Total moment (μB/f.u.): 0.00



Record 17
Material: Pr2MgCd
Method: DFT, SCAN
State: PBEsol geometry

```
data_Pr2MgCd
_cell_length_a 5.415
_cell_length_b 5.415
_cell_length_c 5.415
_cell_angle_alpha 60.00
_cell_angle_beta 60.00
_cell_angle_gamma 60.00
_symmetry_space_group_name_H-M 'P 1'
_symmetry_Int_Tables_number 1
_symmetry_space_group_name_Hall 'P 1'
loop_
_atom_site_label
_atom_site_fract_x
_atom_site_fract_y
_atom_site_fract_z
Pr1 0.250 0.250 0.250
Mg1 0.000 0.000 0.000
Pr2 0.750 0.750 0.750
Cd1 0.500 0.500 0.500
```

Properties
Total moment (μB/f.u.): 0.03



Record 18
Material: Mg2CdPt2
Method: DFT, SCAN
State: PBEsol geometry

```
data_Mg2CdPt2
_cell_length_a 3.790
_cell_length_b 3.790
_cell_length_c 7.256
_cell_angle_alpha 105.14
_cell_angle_beta 105.14
_cell_angle_gamma 90.00
_symmetry_space_group_name_H-M 'P 1'
_symmetry_Int_Tables_number 1
_symmetry_space_group_name_Hall 'P 1'
loop_
_atom_site_label
_atom_site_fract_x
_atom_site_fract_y
_atom_site_fract_z
Mg1 0.387 0.387 0.773
Pt1 0.750 0.250 0.500
Cd1 0.000 0.000 0.000
Mg2 0.613 0.613 0.227
Pt2 0.250 0.750 0.500
```

Properties
Total moment (μB/f.u.): 0.00



Record 19
Material: MgCdPt2
Method: DFT, SCAN
State: PBEsol geometry

```
data_MgCdPt2
_cell_length_a 2.936
_cell_length_b 3.726
_cell_length_c 5.883
_cell_angle_alpha 90.00
_cell_angle_beta 90.00
_cell_angle_gamma 90.00
_symmetry_space_group_name_H-M 'P 1'
_symmetry_Int_Tables_number 1
_symmetry_space_group_name_Hall 'P 1'
loop_
_atom_site_label
_atom_site_fract_x
_atom_site_fract_y
_atom_site_fract_z
Mg1 0.500 0.500 0.500
Pt1 0.000 0.000 0.259
Cd1 0.500 0.500 0.000
Pt2 0.000 0.000 0.741
```

Properties
Total moment (μB/f.u.): 0.00



Record 20
Material: Mg2CdPt2
Method: DFT, SCAN
State: PBEsol geometry

```
data_Mg2CdPt2
_cell_length_a 2.949
_cell_length_b 7.604
_cell_length_c 7.604
_cell_angle_alpha 90.00
_cell_angle_beta 90.00
_cell_angle_gamma 90.00
_symmetry_space_group_name_H-M 'P 1'
_symmetry_Int_Tables_number 1
_symmetry_space_group_name_Hall 'P 1'
loop_
_atom_site_label
_atom_site_fract_x
_atom_site_fract_y
_atom_site_fract_z
Mg1 0.500 0.152 0.652
Mg2 0.500 0.652 0.848
Pt1 0.000 0.856 0.644
Pt2 0.000 0.144 0.356
Cd1 0.000 0.000 0.000
Cd2 0.000 0.500 0.500
Pt3 0.000 0.644 0.144
Mg3 0.500 0.848 0.348
Pt4 0.000 0.356 0.856
Mg4 0.500 0.348 0.152
```

Properties
Total moment (μB/f.u.): 0.00



Looking at ΔH_f (0 K) for the records above, in order, we have -0.02 -0.15 -0.13 -0.03 0.02 -0.10 -0.12 -0.03 -0.05 -0.12 -0.02 -0.16 -0.04 -0.04 1.32 -0.45 -0.27 -0.36 -0.69 -0.76 eV/atom.